1.
Here is an optimized crystal structure of Na3NbSb from Alexandria. Energies are from GGA-PBE.

a b c (Å): 5.805 5.805 5.805
angles (deg): 90.00 90.00 90.00
Atoms (fractional coordinates):
Na: 0.000 0.000 0.500
Na: 0.000 0.500 0.000
Na: 0.500 0.000 0.000
Nb: 0.500 0.500 0.500
Sb: 0.000 0.000 0.000

Computed properties:
SG   No. 221
Formation energy (no corrections)   928.5 meV per atom

2.
Here is an optimized crystal structure of MnAuBr2N from Alexandria. Energies are from GGA-PBE.

a b c (Å): 5.336 5.336 3.528
angles (deg): 90.00 90.00 90.00
Atoms (fractional coordinates):
Mn: 0.000 0.000 0.000
Au: 0.500 0.500 0.500
Br: 0.000 0.500 0.000
Br: 0.500 0.000 0.000
N: 0.000 0.000 0.500

Computed properties:
SG   No. 123
Formation energy (no corrections)   298.6 meV per atom

3.
Here is an optimized crystal structure of ErSnTe4 from Alexandria. Energies are from GGA-PBE.

a b c (Å): 6.744 6.744 10.141
angles (deg): 90.00 90.00 74.90
Atoms (fractional coordinates):
Er: 0.116 0.884 0.750
Er: 0.884 0.116 0.250
Sn: 0.436 0.564 0.250
Sn: 0.564 0.436 0.750
Te: 0.159 0.416 0.750
Te: 0.180 0.820 0.057
Te: 0.180 0.820 0.443
Te: 0.416 0.159 0.250
Te: 0.584 0.841 0.750
Te: 0.820 0.180 0.557
Te: 0.820 0.180 0.943
Te: 0.841 0.584 0.250

Computed properties:
SG   No. 63
Formation energy (no corrections)   -448.9 meV per atom

4.
Here is an optimized crystal structure of Li3Zr3AgS8 from Alexandria. Energies are from GGA-PBE.

a b c (Å): 7.467 7.467 7.467
angles (deg): 59.71 59.71 59.71
Atoms (fractional coordinates):
Li: 0.000 0.500 0.500
Li: 0.500 0.000 0.500
Li: 0.500 0.500 0.000
Zr: 0.000 0.000 0.500
Zr: 0.000 0.500 0.000
Zr: 0.500 0.000 0.000
Ag: 0.500 0.500 0.500
S: 0.231 0.756 0.756
S: 0.244 0.244 0.769
S: 0.244 0.769 0.244
S: 0.250 0.250 0.250
S: 0.750 0.750 0.750
S: 0.756 0.231 0.756
S: 0.756 0.756 0.231
S: 0.769 0.244 0.244

Computed properties:
SG   No. 166
Formation energy (no corrections)   -1258.5 meV per atom

5.
Here is an optimized crystal structure of Ce2ScAu from Alexandria. Energies are from GGA-PBE.

a b c (Å): 3.923 3.923 6.830
angles (deg): 90.00 90.00 90.00
Atoms (fractional coordinates):
Ce: 0.000 0.000 0.220
Ce: 0.000 0.000 0.780
Sc: 0.500 0.500 0.500
Au: 0.500 0.500 0.000

Computed properties:
SG   No. 123
Distance to the lowest polymorph of the same formula   76 meV/atom

6.
Here is an optimized crystal structure of Zr2InBi from Alexandria. Energies are from GGA-PBE.

a b c (Å): 7.235 7.235 7.235
angles (deg): 90.00 90.00 90.00
Atoms (fractional coordinates):
Zr: 0.250 0.250 0.250
Zr: 0.250 0.250 0.750
Zr: 0.250 0.750 0.250
Zr: 0.250 0.750 0.750
Zr: 0.750 0.250 0.250
Zr: 0.750 0.250 0.750
Zr: 0.750 0.750 0.250
Zr: 0.750 0.750 0.750
In: 0.000 0.000 0.000
In: 0.000 0.500 0.500
In: 0.500 0.000 0.500
In: 0.500 0.500 0.000
Bi: 0.000 0.000 0.500
Bi: 0.000 0.500 0.000
Bi: 0.500 0.000 0.000
Bi: 0.500 0.500 0.500

Computed properties:
SG   No. 225
Distance to the lowest polymorph of the same formula   93 meV/atom

7.
Here is an optimized crystal structure of NaSiS4 from Alexandria. Energies are from GGA-PBE.

a b c (Å): 5.545 5.938 11.916
angles (deg): 83.49 89.99 62.20
Atoms (fractional coordinates):
Na: 0.153 0.194 0.408
Na: 0.847 0.806 0.592
Si: 0.250 0.500 0.000
Si: 0.750 0.500 0.000
S: 0.001 0.499 0.138
S: 0.234 0.670 0.399
S: 0.344 0.812 0.978
S: 0.406 0.329 0.602
S: 0.594 0.671 0.398
S: 0.656 0.188 0.022
S: 0.766 0.330 0.601
S: 0.999 0.501 0.862

Computed properties:
SG   No. 2
Formation energy (no corrections)   -554.8 meV per atom

8.
Here is an optimized crystal structure of NaSrCd from Alexandria. Energies are from GGA-PBE.

a b c (Å): 7.641 7.856 7.868
angles (deg): 90.00 90.00 90.00
Atoms (fractional coordinates):
Na: 0.250 0.249 0.000
Na: 0.250 0.749 0.500
Na: 0.750 0.251 0.500
Na: 0.750 0.751 0.000
Sr: 0.250 0.248 0.501
Sr: 0.250 0.748 0.001
Sr: 0.750 0.252 0.001
Sr: 0.750 0.752 0.501
Cd: 0.000 0.000 0.250
Cd: 0.000 0.500 0.750
Cd: 0.500 0.000 0.250
Cd: 0.500 0.500 0.750

Computed properties:
SG   No. 40
Distance to the lowest polymorph of the same formula   118 meV/atom

9.
Here is an optimized crystal structure of Co4TcAs from Alexandria. Energies are from GGA-PBE.

a b c (Å): 4.741 4.741 4.741
angles (deg): 60.00 60.00 60.00
Atoms (fractional coordinates):
Co: 0.125 0.125 0.125
Co: 0.125 0.125 0.625
Co: 0.125 0.625 0.125
Co: 0.625 0.125 0.125
Tc: 0.750 0.750 0.750
As: 0.500 0.500 0.500

Computed properties:
SG   No. 216
E   -6.924 eV/atom

10.
Here is an optimized crystal structure of Zn2OsPt from Alexandria. Energies are from GGA-PBE.

a b c (Å): 2.851 3.317 6.039
angles (deg): 90.00 90.00 90.00
Atoms (fractional coordinates):
Zn: 0.000 0.000 0.250
Zn: 0.000 0.000 0.750
Os: 0.500 0.500 0.000
Pt: 0.500 0.500 0.500

Computed properties:
SG   No. 47
E   -4.968 eV/atom

11.
Here is an optimized crystal structure of NbI3Br2 from Alexandria. Energies are from GGA-PBE.

a b c (Å): 7.948 7.948 9.067
angles (deg): 105.24 105.24 73.51
Atoms (fractional coordinates):
Nb: 0.089 0.911 0.750
Nb: 0.911 0.089 0.250
I: 0.170 0.830 0.061
I: 0.170 0.830 0.439
I: 0.379 0.621 0.750
I: 0.621 0.379 0.250
I: 0.830 0.170 0.561
I: 0.830 0.170 0.939
Br: 0.144 0.268 0.345
Br: 0.268 0.144 0.845
Br: 0.732 0.856 0.155
Br: 0.856 0.732 0.655

Computed properties:
SG   No. 15
Formation energy (no corrections)   -573.0 meV per atom

12.
Here is an optimized crystal structure of CaPr3Ga4 from Alexandria. Energies are from GGA-PBE.

a b c (Å): 10.475 7.461 5.237
angles (deg): 90.00 90.00 90.00
Atoms (fractional coordinates):
Ca: 0.000 0.000 0.000
Ca: 0.500 0.000 0.000
Pr: 0.000 0.500 0.000
Pr: 0.250 0.000 0.497
Pr: 0.250 0.500 0.498
Pr: 0.500 0.500 0.000
Pr: 0.750 0.000 0.503
Pr: 0.750 0.500 0.502
Ga: 0.000 0.246 0.500
Ga: 0.000 0.754 0.500
Ga: 0.250 0.246 0.997
Ga: 0.250 0.754 0.997
Ga: 0.500 0.246 0.500
Ga: 0.500 0.754 0.500
Ga: 0.750 0.246 0.003
Ga: 0.750 0.754 0.003

Computed properties:
SG   No. 51
E   -4.072 eV/atom

Which formula does entry 8 have?
NaSrCd